(1)
This record from Alexandria via LeMat-Bulk describes a relaxed structure of K3SO3. The functional is PBE.

Cell: 7.571 5.271 8.685 Å, 90.00 93.34 90.00°
Space group P2_1/m (No. 11)
Unique sites:
1 K 0.102 0.250 0.300 (multiplicity 2)
2 K 0.244 0.250 0.821 (multiplicity 2)
3 K 0.363 0.750 0.515 (multiplicity 2)
4 S 0.284 0.750 0.074 (multiplicity 2)
5 O 0.142 0.750 0.195 (multiplicity 2)
6 O 0.199 0.750 0.908 (multiplicity 2)
7 O 0.300 0.250 0.541 (multiplicity 2)

Values from the calculation:
The calculation puts the uncorrected formation energy at -1223 meV/atom. The value obtained for the density of states at the Fermi level is 10.9 states/eV per cell.

(2)
This record from Alexandria via LeMat-Bulk describes a relaxed structure of Hg3Bi. The functional is PBE.

Cell: 8.864 8.691 6.345 Å, 90.00 90.00 90.00°
Space group Cmcm (No. 63)
Unique sites:
1 Hg 0.000 0.041 0.250 (multiplicity 4)
2 Hg 0.246 0.293 0.250 (multiplicity 8)
3 Bi 0.000 0.457 0.750 (multiplicity 4)

Values from the calculation:
The formation energy comes out at 0.026 eV/atom. The value obtained for the density of states at the Fermi level is 2.9 states/eV per cell.

(3)
This record from Alexandria via LeMat-Bulk describes a relaxed structure of CaNd2Sm5. The functional is PBE.

Cell: 3.669 11.440 13.458 Å, 90.00 90.00 90.00°
Space group Immm (No. 71)
Unique sites:
1 Ca 0.000 0.000 0.000 (multiplicity 2)
2 Nd 0.000 0.500 0.257 (multiplicity 4)
3 Sm 0.000 0.228 0.366 (multiplicity 8)
4 Sm 0.000 0.500 0.000 (multiplicity 2)

Values from the calculation:
The formation energy comes out at 0.048 eV/atom. The value obtained for the density of states at the Fermi level is 20.6 states/eV per cell.

(4)
This record from Alexandria via LeMat-Bulk describes a relaxed structure of In2SnAs. The functional is PBE.

Cell: 7.369 7.369 7.369 Å, 90.00 90.00 90.00°
Space group Fm-3m (No. 225)
Unique sites:
1 In 0.250 0.250 0.250 (multiplicity 8)
2 Sn 0.000 0.000 0.000 (multiplicity 4)
3 As 0.000 0.000 0.500 (multiplicity 4)

Values from the calculation:
The formation energy comes out at 0.153 eV/atom. The value obtained for the density of states at the Fermi level is 8.9 states/eV per cell. Its excess energy over the best structure of this formula in the dataset is 139 meV per atom.